# 1
Compound: TaTlCl2
Source: Alexandria
Functional: PBE-GGA
Structure: optimized geometry

```
TaTlCl2
1.0
1.618 -3.001 0.000
1.618 3.001 0.000
0.000 0.000 9.783
Ta Tl Cl
1 1 2
Cartesian
0.000 0.000 0.000
1.618 0.000 2.445
0.000 0.000 4.573
1.618 0.000 7.928
```

Values from the calculation:
- Formation energy from raw total energies: -49 kJ/mol of formula units
- Fermi-level density of states: 0.266 states/eV per atom
- Magnetization: 0.00 μB per formula unit
- Energy relative to the lowest polymorph listed for this composition: 0.385 eV per atom
- Calculated total energy: -4.604 eV/atom

***

# 2
Compound: TbBePd2
Source: Alexandria
Functional: PBE-GGA
Structure: optimized geometry

```
TbBePd2
1.0
2.054 -8.606 0.000
2.054 8.606 0.000
0.000 0.000 3.925
Tb Be Pd
2 2 4
Cartesian
2.054 6.118 0.000
2.054 -6.118 0.000
2.054 1.198 1.962
2.054 -1.198 1.962
0.000 0.000 1.962
2.054 3.431 1.962
2.054 0.000 0.000
2.054 -3.431 1.962
```

Values from the calculation:
- Fermi-level density of states: 0.380 states/eV per atom
- Magnetization: 0.00 μB per formula unit
- Energy relative to the lowest polymorph listed for this composition: 0.000 eV per atom
- Calculated total energy: -5.419 eV/atom

***

# 3
Compound: DyYHgPt
Source: Alexandria
Functional: PBE-GGA
Structure: optimized geometry

```
DyYHgPt
1.0
3.582 0.000 0.000
0.000 3.582 0.000
0.000 0.000 7.353
Dy Y Hg Pt
1 1 1 1
Cartesian
0.000 0.000 0.000
0.000 0.000 3.329
1.791 1.791 5.344
1.791 1.791 1.631
```

Values from the calculation:
- Fermi-level density of states: 0.692 states/eV per atom
- Magnetization: 0.00 μB per formula unit
- Energy relative to the lowest polymorph listed for this composition: 0.000 eV per atom
- Calculated total energy: -5.216 eV/atom

***

# 4
Compound: Pr5Dy5Ho2
Source: Alexandria
Functional: PBE-GGA
Structure: optimized geometry

```
Pr5Dy5Ho2
1.0
7.678 -2.550 0.000
7.678 2.550 0.000
-5.117 0.000 10.199
Pr Dy Ho
5 5 2
Cartesian
0.000 0.000 0.000
-2.572 0.000 7.629
2.540 0.000 2.565
7.698 0.000 7.634
12.810 0.000 2.571
5.113 0.000 0.000
2.556 0.000 7.618
5.119 0.000 5.100
7.683 0.000 2.582
5.126 0.000 10.199
0.008 0.000 5.091
10.231 0.000 5.108
```

Values from the calculation:
- Fermi-level density of states: 1.448 states/eV per atom
- Magnetization: 0.00 μB per formula unit
- Calculated total energy: -4.653 eV/atom

***

# 5
Compound: Sr5P4
Source: Alexandria
Functional: PBE-GGA
Structure: optimized geometry

```
Sr5P4
1.0
9.003 0.000 0.000
-4.501 7.796 0.000
0.000 0.000 7.465
Sr P
10 8
Cartesian
-1.131 1.960 1.866
-3.370 5.837 5.599
2.263 0.000 1.866
1.131 1.960 5.599
0.000 5.198 0.000
0.000 5.198 3.733
4.501 2.599 0.000
4.501 2.599 3.733
6.740 0.000 5.599
3.370 5.837 1.866
0.000 0.000 0.000
0.000 0.000 3.733
-1.845 3.195 5.599
-2.657 4.602 1.866
3.689 0.000 5.599
1.845 3.195 1.866
5.313 0.000 1.866
2.657 4.602 5.599
```

Values from the calculation:
- Fermi-level density of states: 0.932 states/eV per atom
- Magnetization: 0.00 μB per formula unit
- Energy relative to the lowest polymorph listed for this composition: 0.000 eV per atom
- Calculated total energy: -4.212 eV/atom

***

# 6
Compound: MnBeIr2
Source: Alexandria
Functional: PBE-GGA
Structure: optimized geometry

```
MnBeIr2
1.0
1.445 -2.301 0.000
1.445 2.301 0.000
0.000 0.000 7.895
Mn Be Ir
1 1 2
Cartesian
0.000 0.000 0.000
0.000 0.000 3.948
1.445 0.000 2.148
1.445 0.000 5.748
```

Values from the calculation:
- Fermi-level density of states: 1.042 states/eV per atom
- Magnetization: 4.09 μB per formula unit
- Calculated total energy: -7.737 eV/atom

***

What is the calculated total energy in the fourth record?
-4.653 eV/atom

***

Which of these has the lowest Fermi-level density of states?
TaTlCl2

***

What is the formula in the fifth record?
Sr5P4